This record from Alexandria describes crystalline Sc8Ga2Cu at its relaxed geometry. The functional is GGA-PBE.

- Energy of formation: -0.262 eV per atom
- Uncorrected energy: -5.79 eV per atom
- Total moment: 0.000 μB per atom

Cell: 16.903 4.645 6.178 Å, 90.00 103.42 90.00°
Space group C2/m (No. 12)
Unique sites:
Sc: 0.021 0.000 0.274 (multiplicity 4)
Sc: 0.092 0.500 0.961 (multiplicity 4)
Sc: 0.155 0.500 0.473 (multiplicity 4)
Sc: 0.206 0.000 0.805 (multiplicity 4)
Ga: 0.187 0.000 0.244 (multiplicity 4)
Cu: 0.000 0.500 0.500 (multiplicity 2)